# 1
Pr2Nb2O5 | PBE | relaxed

Polymorph energy (0 for the lowest one), eV/atom: 0.0000

Cell lengths 7.1189, 4.1034, 4.1034 Å; angles 90.00, 90.00, 90.00 degrees
Closest atoms and distances in Å follow each position.
Atoms (fractional coordinates):
1 O 0.7564 0.5000 0.0000  2 Nb 2.08
2 O 0.7564 0.0000 0.5000  2 Nb 2.08
3 O 0.2436 0.5000 0.0000  2 Nb 2.08
4 O 0.5000 0.5000 0.5000  2 Nb 2.16
5 O 0.2436 0.0000 0.5000  2 Nb 2.08
6 Pr 0.0000 0.0000 0.0000  8 O 2.69
7 Pr 0.5000 0.0000 0.0000  12 O 2.75-2.90
8 Nb 0.8029 0.5000 0.5000  5 O 2.08-2.16
9 Nb 0.1971 0.5000 0.5000  5 O 2.08-2.16

=====

# 2
RbPrNb2O7 | PBE | relaxed

Cell lengths 11.5589, 11.5589, 11.5589 Å; angles 152.56, 39.45, 152.22 degrees
Closest atoms and distances in Å follow each position.
Atoms (fractional coordinates):
1 O 0.0976 0.0000 0.5976  2 Nb 1.98
2 O 0.4973 0.5618 0.9355  1 Nb 1.80
3 O 0.8205 0.5705 0.2500  2 Nb 2.31, 1 Pr 2.33
4 O 0.1795 0.4295 0.7500  2 Nb 2.31, 1 Pr 2.33
5 O 0.9024 0.0000 0.4024  2 Nb 1.98
6 O 0.5729 0.0000 0.0729  2 Nb 2.05
7 O 0.4271 0.0000 0.9271  2 Nb 2.05
8 O 0.1263 0.5618 0.5645  1 Nb 1.80
9 O 0.9024 0.5000 0.9024  2 Nb 1.98
10 O 0.4271 0.5000 0.4271  2 Nb 2.05
11 O 0.5729 0.5000 0.5729  2 Nb 2.05
12 O 0.0976 0.5000 0.0976  2 Nb 1.98
13 O 0.5027 0.4382 0.0645  1 Nb 1.80
14 O 0.8737 0.4382 0.4355  1 Nb 1.80
15 Nb 0.8488 0.4946 0.3542  3 O 1.80-1.98
16 Nb 0.3596 0.5054 0.8542  3 O 1.80-1.98
17 Nb 0.6404 0.4946 0.1458  3 O 1.80-1.98
18 Nb 0.1512 0.5054 0.6458  3 O 1.80-1.98
19 Rb 0.0000 0.0000 0.0000  6 O 2.81-3.10
20 Rb 0.5000 0.0000 0.5000  6 O 2.81-3.10
21 Pr 0.7603 0.0103 0.7500  5 O 2.33-2.55
22 Pr 0.2397 0.9897 0.2500  5 O 2.33-2.55

=====

| no. | energy (eV/atom) |
| --- | --- |
| 1 | -8.4407 |
| 2 | -8.2273 |